Here is a relaxed structure of GdNbPd from OQMD. Energies are from PBE.

Output
As for the formation energy: 0.21 eV/atom. The calculation puts the spin magnetization at 1.1 μB/f.u. The value obtained for the calculated total energy is -6.428 eV per atom.

Lattice parameters (Å, degrees): 4.6487 4.6487 4.6487 60.00 60.00 60.00
Site moments in Bohr magnetons follow the coordinates.
Positions (direct):
1 Gd 0.2500 0.2500 0.2500  0.11
2 Nb 0.7500 0.7500 0.7500  0.68
3 Pd 0.0000 0.0000 0.0000  0.09